DFT (GGA-PBE) results for a relaxed Pr8Y3Mg2 crystal.

extended XYZ file:
```
13
Lattice="6.819 0.000 0.000 1.841 8.517 0.000 3.377 3.166 7.513" Properties=species:S:1:pos:R:3 pbc="T T T"
Pr 1.630 1.060 2.211
Pr 4.176 4.422 6.205
Pr 3.125 4.414 2.549
Pr 5.588 7.717 6.360
Pr 6.448 3.966 1.153
Pr 8.912 7.269 4.964
Pr 7.860 7.260 1.308
Pr 10.406 10.622 5.302
Y 7.828 10.084 7.463
Y 5.098 1.583 3.756
Y 4.208 1.598 0.050
Mg 5.208 6.985 3.233
Mg 6.829 4.697 4.280
```

Calculated values
Space group   P-1 (2)
Energy of formation   0.01 eV/atom



DFT (GGA-PBE) results for a relaxed Hg2TeMo crystal.

extended XYZ file:
```
4
Lattice="2.956 0.000 0.000 0.000 2.956 0.000 0.000 0.000 11.182" Properties=species:S:1:pos:R:3 pbc="T T T"
Hg 0.000 0.000 2.115
Hg 0.000 0.000 9.067
Te 1.478 1.478 5.591
Mo 1.478 1.478 0.000
```

Calculated values
E_form (uncorrected)   2.34 eV/f.u.
Space group   P4/mmm (123)



DFT (GGA-PBE) results for a relaxed CrSiRu4 crystal.

extended XYZ file:
```
6
Lattice="0.000 3.569 3.569 3.569 0.000 3.569 3.569 3.569 0.000" Properties=species:S:1:pos:R:3 pbc="T T T"
Cr 0.000 0.000 0.000
Si 1.785 1.785 1.785
Ru 4.461 2.677 2.677
Ru 2.677 4.461 2.677
Ru 2.677 2.677 4.461
Ru 4.461 4.461 4.461
```

Calculated values
E_form (uncorrected)   3.52 eV/f.u.
Space group   F-43m (216)



DFT (GGA-PBE) results for a relaxed Tc2HgRh crystal.

extended XYZ file:
```
4
Lattice="2.837 0.000 0.000 0.000 2.837 0.000 0.000 0.000 7.925" Properties=species:S:1:pos:R:3 pbc="T T T"
Tc 0.000 0.000 0.000
Tc 1.418 1.418 1.746
Hg 0.000 0.000 3.977
Rh 1.418 1.418 6.114
```

Calculated values
Space group   P4mm (99)
Energy of formation   0.18 eV/atom



DFT (GGA-PBE) results for a relaxed AlPtW2 crystal.

extended XYZ file:
```
16
Lattice="6.299 0.000 0.000 0.000 6.299 0.000 0.000 0.000 6.299" Properties=species:S:1:pos:R:3 pbc="T T T"
Al 0.000 0.000 0.000
Al 0.000 3.149 3.149
Al 3.149 0.000 3.149
Al 3.149 3.149 0.000
Pt 1.575 1.575 4.724
Pt 1.575 4.724 1.575
Pt 4.724 1.575 1.575
Pt 4.724 4.724 4.724
W 0.000 0.000 3.149
W 0.000 3.149 0.000
W 1.575 1.575 1.575
W 1.575 4.724 4.724
W 3.149 0.000 0.000
W 3.149 3.149 3.149
W 4.724 1.575 4.724
W 4.724 4.724 1.575
```

Calculated values
Space group   F-43m (216)
Energy of formation   -0.04 eV/atom



DFT (GGA-PBE) results for a relaxed Tm6Tl5Ir crystal.

extended XYZ file:
```
12
Lattice="-2.621 3.730 7.804 2.621 -3.730 7.804 2.621 3.730 -7.804" Properties=species:S:1:pos:R:3 pbc="T T T"
Tm 2.621 1.705 -2.360
Tm 0.000 1.652 0.000
Tm 2.621 1.705 2.360
Tm 0.000 2.024 5.444
Tm 0.000 5.807 0.000
Tm 0.000 2.024 10.163
Tl 0.000 0.000 2.876
Tl 2.621 0.000 5.245
Tl 0.000 0.000 7.804
Tl 0.000 3.730 2.559
Tl 0.000 0.000 12.731
Ir 2.621 0.000 0.000
```

Calculated values
Space group   Immm (71)
Energy of formation   -0.40 eV/atom



DFT (GGA-PBE) results for a relaxed K2PaCu2Te4 crystal.

extended XYZ file:
```
9
Lattice="7.941 -2.167 0.000 7.941 2.167 0.000 -2.798 0.000 8.045" Properties=species:S:1:pos:R:3 pbc="T T T"
K 1.970 0.000 0.506
K 11.114 0.000 7.538
Pa -1.399 0.000 4.022
Cu 3.704 0.000 4.102
Cu 9.380 0.000 3.943
Te 1.311 0.000 5.470
Te 5.541 0.000 5.986
Te 7.543 0.000 2.059
Te 11.773 0.000 2.574
```

Calculated values
E_form (uncorrected)   -6.65 eV/f.u.
Space group   C2/m (12)



DFT (GGA-PBE) results for a relaxed ZrZn20Ni2 crystal.

extended XYZ file:
```
46
Lattice="0.000 6.965 6.965 6.965 0.000 6.965 6.965 6.965 0.000" Properties=species:S:1:pos:R:3 pbc="T T T"
Zr 1.741 1.741 1.741
Zr 12.189 12.189 12.189
Zn 0.000 0.000 0.000
Zn 3.482 3.482 0.000
Zn 3.482 0.000 3.482
Zn 4.498 2.642 2.642
Zn 7.806 5.949 2.642
Zn 7.806 2.642 5.949
Zn 9.431 6.124 6.124
Zn 11.288 7.981 6.124
Zn 11.288 6.124 7.981
Zn 5.224 5.224 3.309
Zn 5.224 3.309 5.224
Zn 7.138 5.224 5.224
Zn 2.642 4.498 2.642
Zn 5.949 7.806 2.642
Zn 2.642 2.642 4.498
Zn 7.806 7.806 4.498
Zn 5.949 2.642 7.806
Zn 7.806 4.498 7.806
Zn 8.706 8.706 6.791
Zn 8.706 6.791 8.706
Zn 10.621 8.706 8.706
Zn 0.000 3.482 3.482
Zn 3.309 5.224 5.224
Zn 5.224 7.138 5.224
Zn 5.224 5.224 7.138
Zn 6.124 9.431 6.124
Zn 7.981 11.288 6.124
Zn 6.124 6.124 9.431
Zn 11.288 11.288 9.431
Zn 7.981 6.124 11.288
Zn 11.288 9.431 11.288
Zn 6.791 8.706 8.706
Zn 8.706 10.621 8.706
Zn 8.706 8.706 10.621
Zn 2.642 7.806 5.949
Zn 2.642 5.949 7.806
Zn 4.498 7.806 7.806
Zn 6.124 11.288 7.981
Zn 6.124 7.981 11.288
Zn 9.431 11.288 11.288
Ni 6.965 3.482 3.482
Ni 3.482 6.965 3.482
Ni 3.482 3.482 6.965
Ni 6.965 6.965 6.965
```

Calculated values
Space group   Fd-3m (227)
Energy of formation   -0.17 eV/atom



What did the fourth record say?
DFT (GGA-PBE) results for a relaxed Tc2HgRh crystal.

extended XYZ file:
```
4
Lattice="2.837 0.000 0.000 0.000 2.837 0.000 0.000 0.000 7.925" Properties=species:S:1:pos:R:3 pbc="T T T"
Tc 0.000 0.000 0.000
Tc 1.418 1.418 1.746
Hg 0.000 0.000 3.977
Rh 1.418 1.418 6.114
```

Calculated values
Space group   P4mm (99)
Energy of formation   0.18 eV/atom